A relaxed Ho6GeSb3Se2 crystal, computed with GGA-PBE.

VASP energy, eV/atom: -5.591
Density of states at the Fermi level, states/eV/cell: 1.97
Uncorrected formation energy, meV per atom: -1306

Lattice parameters (Å, degrees): 4.234 8.485 9.470 103.08 102.92 90.00
Element x y z (fractional)
Ho (0.340, 0.916, 0.681)
Ho (0.001, 0.235, 0.002)
Ho (0.660, 0.084, 0.319)
Ho (0.668, 0.579, 0.335)
Ho (0.332, 0.421, 0.665)
Ho (0.999, 0.765, 0.998)
Sb (0.500, 0.500, 0.000)
Sb (0.830, 0.167, 0.661)
Sb (0.170, 0.833, 0.339)
Se (0.832, 0.664, 0.665)
Se (0.168, 0.336, 0.335)
Ge (0.500, 0.000, 0.000)